# 1
# Tm2Al3AgAu4 PBE optimized geometry
# Energy of formation from the pure elements, eV/atom: -0.56
# Volume, Å³ per cell: 200.3
data_Tm2Al3AgAu4
_chemical_formula_sum 'Tm2 Al3 Ag1 Au4'
_cell_length_a 4.193
_cell_length_b 4.193
_cell_length_c 11.395
_cell_angle_alpha 90.00
_cell_angle_beta 90.00
_cell_angle_gamma 90.00
_space_group_name_H-M_alt 'P -4 m 2'
_space_group_IT_number 115
loop_
_space_group_symop_operation_xyz
'x,y,z'
'y,-x,-z'
'-x,-y,z'
'-y,x,-z'
'-x,y,z'
'-y,-x,-z'
'x,-y,z'
'y,x,-z'
loop_
_atom_site_label
_atom_site_fract_x
_atom_site_fract_y
_atom_site_fract_z
_atom_site_occupancy
Tm1 0.000 0.500 0.250 1
Al1 0.000 0.000 0.000 1
Al2 0.000 0.500 0.629 1
Ag1 0.500 0.500 0.000 1
Au1 0.000 0.000 0.500 1
Au2 0.000 0.500 0.843 1
Au3 0.500 0.500 0.500 1

=====

# 2
# BeSeCl2 PBE optimized geometry
# E_form (uncorrected), kJ/mol of formula units: -181.0
# Polymorph energy (0 for the lowest one), meV per atom: 128
# Volume, Å³ per cell: 216.6
data_BeSeCl2
_chemical_formula_sum 'Be2 Se2 Cl4'
_cell_length_a 3.105
_cell_length_b 5.103
_cell_length_c 13.672
_cell_angle_alpha 90.00
_cell_angle_beta 90.00
_cell_angle_gamma 90.00
_space_group_name_H-M_alt 'I m m 2'
_space_group_IT_number 44
loop_
_space_group_symop_operation_xyz
'x,y,z'
'-x,-y,z'
'-x,y,z'
'x,-y,z'
'x+1/2,y+1/2,z+1/2'
'-x+1/2,-y+1/2,z+1/2'
'-x+1/2,y+1/2,z+1/2'
'x+1/2,-y+1/2,z+1/2'
loop_
_atom_site_label
_atom_site_fract_x
_atom_site_fract_y
_atom_site_fract_z
_atom_site_occupancy
Be1 0.000 0.000 0.000 1
Se1 0.000 0.500 0.366 1
Cl1 0.000 0.000 0.391 1
Cl2 0.000 0.500 0.600 1